1.
Density functional theory data (PBE) for a relaxed structure of SrLi12Au6.

For the formation energy, the calculation gives -0.394 eV/atom. The value obtained for the magnetic moment is 0.00 μB per atom. The total energy comes out at -2.73 eV/atom.

The space group is R-3m (No. 166, hexagonal axes) and the conventional cell measures 11.5907, 11.5907 and 9.4629 Å, with angles of 90.00, 90.00 and 120.00 degrees. The inequivalent atoms are Sr at (0.0000, 0.0000, 0.0000), Li at (0.0000, 0.3851, 0.5000), Li at (0.0911, 0.1822, 0.3493) and Au at (0.0263, 0.5132, 0.2638).

---

2.
Density functional theory data (PBE) for a relaxed structure of Sr2LiAu.

For the formation energy, the calculation gives -0.313 eV/atom. The value obtained for the magnetic moment is 0.00 μB per atom. The total energy comes out at -2.45 eV/atom.

The space group is P4mm (No. 99) and the conventional cell measures 3.8636, 3.8636 and 8.5721 Å, with angles of 90.00, 90.00 and 90.00 degrees. The inequivalent atoms are Sr at (0.0000, 0.0000, 0.0000), Sr at (0.5000, 0.5000, 0.3934), Li at (0.5000, 0.5000, 0.7409) and Au at (0.0000, 0.0000, 0.6173).